Here is a relaxed LuAgSnTe2Se crystal from OQMD. Energies are from GGA-PBE.

Output
V   26.98 Å³/atom
Total magnetic moment   0.01 μB per formula unit
Raw total energy   -50.6 eV for the cell shown

CIF file:
```
data_LuAgSnTe2Se
_chemical_formula_sum 'Lu2 Ag2 Sn2 Te4 Se2'
_space_group_name_H-M_alt 'P 1'
_space_group_IT_number 1
_cell_length_a 7.560
_cell_length_b 7.560
_cell_length_c 10.462
_cell_angle_alpha 90.00
_cell_angle_beta 90.00
_cell_angle_gamma 147.21
loop_
_space_group_symop_operation_xyz
'x,y,z'
loop_
_atom_site_label
_atom_site_type_symbol
_atom_site_fract_x
_atom_site_fract_y
_atom_site_fract_z
Lu1 Lu 0.000 0.000 0.000
Lu2 Lu 0.000 0.000 0.500
Ag1 Ag 0.477 0.523 0.750
Ag2 Ag 0.523 0.477 0.250
Sn1 Sn 0.256 0.744 0.250
Sn2 Sn 0.744 0.256 0.750
Te1 Te 0.351 0.649 0.550
Te2 Te 0.351 0.649 0.950
Te3 Te 0.649 0.351 0.050
Te4 Te 0.649 0.351 0.450
Se1 Se 0.087 0.913 0.750
Se2 Se 0.913 0.087 0.250
```

Here is a relaxed LiNiAsIr crystal from OQMD. Energies are from GGA-PBE.

Output
V   13.10 Å³/atom
Total magnetic moment   0.01 μB per formula unit
Raw total energy   -20.9 eV for the cell shown

CIF file:
```
data_LiNiAsIr
_chemical_formula_sum 'Li1 Ni1 As1 Ir1'
_space_group_name_H-M_alt 'P 1'
_space_group_IT_number 1
_cell_length_a 4.200
_cell_length_b 4.200
_cell_length_c 4.200
_cell_angle_alpha 60.00
_cell_angle_beta 60.00
_cell_angle_gamma 60.00
loop_
_space_group_symop_operation_xyz
'x,y,z'
loop_
_atom_site_label
_atom_site_type_symbol
_atom_site_fract_x
_atom_site_fract_y
_atom_site_fract_z
Li1 Li 0.000 0.000 0.000
Ni1 Ni 0.500 0.500 0.500
As1 As 0.250 0.250 0.250
Ir1 Ir 0.750 0.750 0.750
```